*a*
VASP calculation (PBE+U) on a relaxed structure of TaCoPO.

The structure in CIF format:
```
data_TaCoPO
_chemical_formula_sum 'Ta2 Co2 P2 O2'
_symmetry_space_group_name_H-M 'P 4/n m m'
_symmetry_Int_Tables_number 129
_cell_length_a 3.481
_cell_length_b 3.481
_cell_length_c 7.447
_cell_angle_alpha 90.00
_cell_angle_beta 90.00
_cell_angle_gamma 90.00
loop_
_symmetry_equiv_pos_as_xyz
'x,y,z'
'-x,-y,-z'
'-y+1/2,x,z'
'y+1/2,-x,-z'
'-x+1/2,-y+1/2,z'
'x+1/2,y+1/2,-z'
'y,-x+1/2,z'
'-y,x+1/2,-z'
'x+1/2,-y,-z'
'-x+1/2,y,z'
'-y,-x,-z'
'y,x,z'
'-x,y+1/2,-z'
'x,-y+1/2,z'
'y+1/2,x+1/2,-z'
'-y+1/2,-x+1/2,z'
loop_
_atom_site_label
_atom_site_fract_x
_atom_site_fract_y
_atom_site_fract_z
Ta1 0.250 0.250 0.179
Co1 0.250 0.750 0.500
P1 0.250 0.250 0.676
O1 0.250 0.750 0.000
```

---

*b*
VASP calculation (PBE+U) on a relaxed structure of TaCoPO.

The structure in CIF format:
```
data_TaCoPO
_chemical_formula_sum 'Ta2 Co2 P2 O2'
_symmetry_space_group_name_H-M 'P m c 21'
_symmetry_Int_Tables_number 26
_cell_length_a 3.946
_cell_length_b 5.310
_cell_length_c 5.041
_cell_angle_alpha 90.00
_cell_angle_beta 90.00
_cell_angle_gamma 90.00
loop_
_symmetry_equiv_pos_as_xyz
'x,y,z'
'-x,-y,z+1/2'
'-x,y,z'
'x,-y,z+1/2'
loop_
_atom_site_label
_atom_site_fract_x
_atom_site_fract_y
_atom_site_fract_z
Ta1 0.000 0.182 0.000
Co1 0.500 0.500 0.249
P1 0.000 0.311 0.501
O1 0.500 0.152 0.001
```

---

Taking the most stable structure as the zero point, the relative energies in meV per atom are *a* 0; *b* 30.